## CaTb2Sm3Y6 (PBE-GGA)

Data for crystalline CaTb2Sm3Y6 at its relaxed geometry.

Properties
Theoretical density, g/cm³: 5.6
Final energy, eV per atom: -5.30
Symmetry: C2/m
Magnetic moment, μB/f.u.: 0.00

Cell lengths 6.251, 6.251, 11.927 Å; angles 95.00, 95.00, 120.00 degrees
Element x y z (fractional)
Ca (0.000, 0.000, 0.000)
Tb (0.333, 0.667, 0.000)
Tb (0.667, 0.333, 0.000)
Sm (0.166, 0.834, 0.500)
Sm (0.500, 0.500, 0.500)
Sm (0.834, 0.166, 0.500)
Y (0.084, 0.423, 0.251)
Y (0.254, 0.254, 0.748)
Y (0.423, 0.084, 0.251)
Y (0.577, 0.916, 0.749)
Y (0.746, 0.746, 0.252)
Y (0.916, 0.577, 0.749)

***

## Pb2Au (PBE-GGA)

Data for crystalline Pb2Au at its relaxed geometry.

Properties
Theoretical density, g/cm³: 12.6
Final energy, eV per atom: -3.60
Symmetry: I4/mmm
Magnetic moment, μB/f.u.: 0.00

Cell lengths 3.522, 3.522, 12.960 Å; angles 90.00, 90.00, 90.00 degrees
Element x y z (fractional)
Pb (0.000, 0.000, 0.143)
Pb (0.000, 0.000, 0.857)
Pb (0.500, 0.500, 0.357)
Pb (0.500, 0.500, 0.643)
Au (0.000, 0.000, 0.500)
Au (0.500, 0.500, 0.000)

***

## Cd3Tc (PBE-GGA)

Data for crystalline Cd3Tc at its relaxed geometry.

Properties
Theoretical density, g/cm³: 9.2
Final energy, eV per atom: -2.94
Symmetry: P4/mmm
Magnetic moment, μB/f.u.: 1.32

Cell lengths 2.953, 2.953, 8.987 Å; angles 90.00, 90.00, 90.00 degrees
Element x y z (fractional)
Cd (0.000, 0.000, 0.000)
Cd (0.500, 0.500, 0.273)
Cd (0.500, 0.500, 0.727)
Tc (0.000, 0.000, 0.500)

***

## IrPbAu (PBE-GGA)

Data for crystalline IrPbAu at its relaxed geometry.

Properties
Theoretical density, g/cm³: 16.7
Final energy, eV per atom: -4.81
Symmetry: P3m1
Magnetic moment, μB/f.u.: 0.00

Cell lengths 4.600, 4.600, 3.230 Å; angles 90.00, 90.00, 120.00 degrees
Element x y z (fractional)
Ir (0.000, 0.000, 0.000)
Pb (0.667, 0.333, 0.201)
Au (0.333, 0.667, 0.616)

***

## Pm3NdTl4 (PBE-GGA)

Data for crystalline Pm3NdTl4 at its relaxed geometry.

Properties
Theoretical density, g/cm³: 9.2
Final energy, eV per atom: -3.81
Symmetry: Immm
Magnetic moment, μB/f.u.: 0.01

Cell lengths 3.630, 7.372, 18.909 Å; angles 90.00, 90.00, 90.00 degrees
Element x y z (fractional)
Pm (0.000, 0.000, 0.000)
Pm (0.000, 0.500, 0.218)
Pm (0.000, 0.500, 0.782)
Pm (0.500, 0.000, 0.282)
Pm (0.500, 0.000, 0.718)
Pm (0.500, 0.500, 0.500)
Nd (0.000, 0.000, 0.500)
Nd (0.500, 0.500, 0.000)
Tl (0.000, 0.288, 0.372)
Tl (0.000, 0.288, 0.628)
Tl (0.000, 0.712, 0.372)
Tl (0.000, 0.712, 0.628)
Tl (0.500, 0.212, 0.128)
Tl (0.500, 0.212, 0.872)
Tl (0.500, 0.788, 0.128)
Tl (0.500, 0.788, 0.872)

***

## CsCuSnTe (PBE-GGA)

Data for crystalline CsCuSnTe at its relaxed geometry.

Properties
Theoretical density, g/cm³: 5.3
Formation energy from raw total energies, eV/f.u.: -1.23
Symmetry: P4/nmm
Magnetic moment, μB/f.u.: 0.00

Cell lengths 4.318, 4.318, 14.925 Å; angles 90.00, 90.00, 90.00 degrees
Element x y z (fractional)
Cs (0.250, 0.250, 0.249)
Cs (0.750, 0.750, 0.751)
Cu (0.250, 0.750, 0.500)
Cu (0.750, 0.250, 0.500)
Sn (0.250, 0.750, 0.000)
Sn (0.750, 0.250, 0.000)
Te (0.250, 0.250, 0.603)
Te (0.750, 0.750, 0.397)